{
  "formula": "LaPmGdPu",
  "functional": "PBE",
  "state": "relaxed",
  "cell": [[8.066, 0.000, 0.000], [0.000, 8.066, 0.000], [0.000, 0.000, 8.066]],
  "species": ["La", "La", "La", "La", "Pm", "Pm", "Pm", "Pm", "Gd", "Gd", "Gd", "Gd", "Pu", "Pu", "Pu", "Pu"],
  "fractional_positions": [[0.000, 0.000, 0.000], [0.000, 0.500, 0.500], [0.500, 0.000, 0.500], [0.500, 0.500, 0.000], [0.000, 0.000, 0.500], [0.000, 0.500, 0.000], [0.500, 0.000, 0.000], [0.500, 0.500, 0.500], [0.250, 0.250, 0.250], [0.250, 0.750, 0.750], [0.750, 0.250, 0.750], [0.750, 0.750, 0.250], [0.250, 0.250, 0.750], [0.250, 0.750, 0.250], [0.750, 0.250, 0.250], [0.750, 0.750, 0.750]],
  "space_group": "F-43m, No. 216"
}



{
  "formula": "LaPmSmGd",
  "functional": "PBE",
  "state": "relaxed",
  "cell": [[8.227, 0.000, 0.000], [0.000, 8.227, 0.000], [0.000, 0.000, 8.227]],
  "species": ["La", "La", "La", "La", "Pm", "Pm", "Pm", "Pm", "Sm", "Sm", "Sm", "Sm", "Gd", "Gd", "Gd", "Gd"],
  "fractional_positions": [[0.000, 0.000, 0.000], [0.000, 0.500, 0.500], [0.500, 0.000, 0.500], [0.500, 0.500, 0.000], [0.250, 0.250, 0.750], [0.250, 0.750, 0.250], [0.750, 0.250, 0.250], [0.750, 0.750, 0.750], [0.250, 0.250, 0.250], [0.250, 0.750, 0.750], [0.750, 0.250, 0.750], [0.750, 0.750, 0.250], [0.000, 0.000, 0.500], [0.000, 0.500, 0.000], [0.500, 0.000, 0.000], [0.500, 0.500, 0.500]],
  "space_group": "F-43m, No. 216"
}



{
  "formula": "LaPmGdTh",
  "functional": "PBE",
  "state": "relaxed",
  "cell": [[8.164, 0.000, 0.000], [0.000, 8.164, 0.000], [0.000, 0.000, 8.164]],
  "species": ["La", "La", "La", "La", "Pm", "Pm", "Pm", "Pm", "Gd", "Gd", "Gd", "Gd", "Th", "Th", "Th", "Th"],
  "fractional_positions": [[0.000, 0.000, 0.000], [0.000, 0.500, 0.500], [0.500, 0.000, 0.500], [0.500, 0.500, 0.000], [0.250, 0.250, 0.750], [0.250, 0.750, 0.250], [0.750, 0.250, 0.250], [0.750, 0.750, 0.750], [0.250, 0.250, 0.250], [0.250, 0.750, 0.750], [0.750, 0.250, 0.750], [0.750, 0.750, 0.250], [0.000, 0.000, 0.500], [0.000, 0.500, 0.000], [0.500, 0.000, 0.000], [0.500, 0.500, 0.500]],
  "space_group": "F-43m, No. 216"
}



{
  "formula": "LaPmGdTl",
  "functional": "PBE",
  "state": "relaxed",
  "cell": [[7.943, 0.000, 0.000], [0.000, 7.943, 0.000], [0.000, 0.000, 7.943]],
  "species": ["La", "La", "La", "La", "Pm", "Pm", "Pm", "Pm", "Gd", "Gd", "Gd", "Gd", "Tl", "Tl", "Tl", "Tl"],
  "fractional_positions": [[0.000, 0.000, 0.000], [0.000, 0.500, 0.500], [0.500, 0.000, 0.500], [0.500, 0.500, 0.000], [0.000, 0.000, 0.500], [0.000, 0.500, 0.000], [0.500, 0.000, 0.000], [0.500, 0.500, 0.500], [0.250, 0.250, 0.750], [0.250, 0.750, 0.250], [0.750, 0.250, 0.250], [0.750, 0.750, 0.750], [0.250, 0.250, 0.250], [0.250, 0.750, 0.750], [0.750, 0.250, 0.750], [0.750, 0.750, 0.250]],
  "space_group": "F-43m, No. 216"
}



{
  "formula": "LaPmGdY",
  "functional": "PBE",
  "state": "relaxed",
  "cell": [[8.196, 0.000, 0.000], [0.000, 8.196, 0.000], [0.000, 0.000, 8.196]],
  "species": ["La", "La", "La", "La", "Pm", "Pm", "Pm", "Pm", "Gd", "Gd", "Gd", "Gd", "Y", "Y", "Y", "Y"],
  "fractional_positions": [[0.000, 0.000, 0.000], [0.000, 0.500, 0.500], [0.500, 0.000, 0.500], [0.500, 0.500, 0.000], [0.000, 0.000, 0.500], [0.000, 0.500, 0.000], [0.500, 0.000, 0.000], [0.500, 0.500, 0.500], [0.250, 0.250, 0.750], [0.250, 0.750, 0.250], [0.750, 0.250, 0.250], [0.750, 0.750, 0.750], [0.250, 0.250, 0.250], [0.250, 0.750, 0.750], [0.750, 0.250, 0.750], [0.750, 0.750, 0.250]],
  "space_group": "F-43m, No. 216"
}



{
  "formula": "LaPmGdZr",
  "functional": "PBE",
  "state": "relaxed",
  "cell": [[7.930, 0.000, 0.000], [0.000, 7.930, 0.000], [0.000, 0.000, 7.930]],
  "species": ["La", "La", "La", "La", "Pm", "Pm", "Pm", "Pm", "Gd", "Gd", "Gd", "Gd", "Zr", "Zr", "Zr", "Zr"],
  "fractional_positions": [[0.000, 0.000, 0.000], [0.000, 0.500, 0.500], [0.500, 0.000, 0.500], [0.500, 0.500, 0.000], [0.250, 0.250, 0.250], [0.250, 0.750, 0.750], [0.750, 0.250, 0.750], [0.750, 0.750, 0.250], [0.000, 0.000, 0.500], [0.000, 0.500, 0.000], [0.500, 0.000, 0.000], [0.500, 0.500, 0.500], [0.250, 0.250, 0.750], [0.250, 0.750, 0.250], [0.750, 0.250, 0.250], [0.750, 0.750, 0.750]],
  "space_group": "F-43m, No. 216"
}



{
  "formula": "LaPr2Gd",
  "functional": "PBE",
  "state": "relaxed",
  "cell": [[8.304, 0.000, 0.000], [0.000, 8.304, 0.000], [0.000, 0.000, 8.304]],
  "species": ["La", "La", "La", "La", "Pr", "Pr", "Pr", "Pr", "Pr", "Pr", "Pr", "Pr", "Gd", "Gd", "Gd", "Gd"],
  "fractional_positions": [[0.000, 0.000, 0.000], [0.000, 0.500, 0.500], [0.500, 0.000, 0.500], [0.500, 0.500, 0.000], [0.250, 0.250, 0.250], [0.250, 0.250, 0.750], [0.250, 0.750, 0.250], [0.250, 0.750, 0.750], [0.750, 0.250, 0.250], [0.750, 0.250, 0.750], [0.750, 0.750, 0.250], [0.750, 0.750, 0.750], [0.000, 0.000, 0.500], [0.000, 0.500, 0.000], [0.500, 0.000, 0.000], [0.500, 0.500, 0.500]],
  "de_polymorph_ev_per_atom": 0.102,
  "space_group": "Fm-3m, No. 225"
}



{
  "formula": "La2PrGd",
  "functional": "PBE",
  "state": "relaxed",
  "cell": [[5.231, 0.000, 0.000], [0.000, 5.231, 0.000], [0.000, 0.000, 5.193]],
  "species": ["La", "La", "Pr", "Gd"],
  "fractional_positions": [[0.000, 0.500, 0.000], [0.500, 0.000, 0.000], [0.000, 0.000, 0.500], [0.500, 0.500, 0.500]],
  "de_polymorph_ev_per_atom": 0.000,
  "space_group": "P4/mmm, No. 123"
}



Number 1: E_tot -9.33 eV per atom. Number 2: E_tot -7.00 eV per atom. Number 3: E_tot -7.64 eV per atom. Number 4: E_tot -6.64 eV per atom. Number 5: E_tot -7.46 eV per atom. Number 6: E_tot -7.85 eV per atom. Number 7: E_tot -7.03 eV per atom. Number 8: E_tot -7.17 eV per atom.